[1]
# NdTmPuSc, relaxed, DFT PBE
# - Formation energy: 188 meV per atom
data_NdTmPuSc
_space_group_name_H-M_alt 'F -4 3 m'
_space_group_IT_number 216
_space_group_name_Hall 'F -4 2 3'
_cell_length_a 7.768
_cell_length_b 7.768
_cell_length_c 7.768
_cell_angle_alpha 90.00
_cell_angle_beta 90.00
_cell_angle_gamma 90.00
loop_
_atom_site_label
_atom_site_fract_x
_atom_site_fract_y
_atom_site_fract_z
Nd1 0.000 0.000 0.000
Tm1 0.250 0.250 0.750
Pu1 0.000 0.000 0.500
Sc1 0.250 0.250 0.250



[2]
# VCdReMo2, relaxed, DFT PBE
# - Formation energy: 2798 meV per atom
data_VCdReMo2
_space_group_name_H-M_alt 'P 4/m m m'
_space_group_IT_number 123
_space_group_name_Hall '-P 4 2'
_cell_length_a 4.786
_cell_length_b 4.786
_cell_length_c 4.507
_cell_angle_alpha 90.00
_cell_angle_beta 90.00
_cell_angle_gamma 90.00
loop_
_atom_site_label
_atom_site_fract_x
_atom_site_fract_y
_atom_site_fract_z
V1 0.000 0.000 0.000
Cd1 0.000 0.000 0.500
Re1 0.500 0.500 0.000
Mo1 0.000 0.500 0.500



[3]
# Er2Co7B3, relaxed, DFT PBE
# - Formation energy: -421 meV per atom
data_Er2Co7B3
_space_group_name_H-M_alt 'P 6/m m m'
_space_group_IT_number 191
_space_group_name_Hall '-P 6 2'
_cell_length_a 4.9894
_cell_length_b 4.9894
_cell_length_c 12.7774
_cell_angle_alpha 90.00
_cell_angle_beta 90.00
_cell_angle_gamma 120.00
loop_
_atom_site_label
_atom_site_fract_x
_atom_site_fract_y
_atom_site_fract_z
Er1 0.0000 0.0000 0.0000
Er2 0.0000 0.0000 0.2389
Er3 0.0000 0.0000 0.5000
Co1 0.0000 0.5000 0.1159
Co2 0.0000 0.5000 0.3459
Co3 0.3333 0.6667 0.5000
B1 0.3333 0.6667 0.0000
B2 0.3333 0.6667 0.2316



[4]
# AcNdNiOs, relaxed, DFT PBE
# - Formation energy: 31 meV per atom
data_AcNdNiOs
_space_group_name_H-M_alt 'F -4 3 m'
_space_group_IT_number 216
_space_group_name_Hall 'F -4 2 3'
_cell_length_a 7.198
_cell_length_b 7.198
_cell_length_c 7.198
_cell_angle_alpha 90.00
_cell_angle_beta 90.00
_cell_angle_gamma 90.00
loop_
_atom_site_label
_atom_site_fract_x
_atom_site_fract_y
_atom_site_fract_z
Ac1 0.000 0.000 0.000
Nd1 0.000 0.000 0.500
Ni1 0.250 0.250 0.750
Os1 0.250 0.250 0.250



[5]
# Nd3Ag, relaxed, DFT PBE
# - Formation energy: 10 meV per atom
# - Energy above the lowest structure with this stoichiometry: 97 meV/atom
data_Nd3Ag
_space_group_name_H-M_alt 'P m -3 m'
_space_group_IT_number 221
_space_group_name_Hall '-P 4 2 3'
_cell_length_a 4.929
_cell_length_b 4.929
_cell_length_c 4.929
_cell_angle_alpha 90.00
_cell_angle_beta 90.00
_cell_angle_gamma 90.00
loop_
_atom_site_label
_atom_site_fract_x
_atom_site_fract_y
_atom_site_fract_z
Nd1 0.000 0.000 0.500
Ag1 0.500 0.500 0.500



[6]
# NaSb2F, relaxed, DFT PBE
# - E_form (uncorrected): -1.525 eV/f.u.
# - Energy above the lowest structure with this stoichiometry: 378 meV/atom
data_NaSb2F
_space_group_name_H-M_alt 'F m -3 m'
_space_group_IT_number 225
_space_group_name_Hall '-F 4 2 3'
_cell_length_a 6.989
_cell_length_b 6.989
_cell_length_c 6.989
_cell_angle_alpha 90.00
_cell_angle_beta 90.00
_cell_angle_gamma 90.00
loop_
_atom_site_label
_atom_site_fract_x
_atom_site_fract_y
_atom_site_fract_z
Na1 0.000 0.000 0.000
Sb1 0.250 0.250 0.250
F1 0.000 0.000 0.500



[7]
# AlCr2Sb, relaxed, DFT PBE
# - E_form (uncorrected): 0.576 eV/f.u.
# - Energy above the lowest structure with this stoichiometry: 0 meV/atom
data_AlCr2Sb
_space_group_name_H-M_alt 'P 4 m m'
_space_group_IT_number 99
_cell_length_a 2.989
_cell_length_b 2.989
_cell_length_c 7.802
_cell_angle_alpha 90.00
_cell_angle_beta 90.00
_cell_angle_gamma 90.00
loop_
_space_group_symop_operation_xyz
'x,y,z'
'-y,x,z'
'-x,-y,z'
'y,-x,z'
'-x,y,z'
'y,x,z'
'x,-y,z'
'-y,-x,z'
loop_
_atom_site_label
_atom_site_fract_x
_atom_site_fract_y
_atom_site_fract_z
Al1 0.000 0.000 0.000
Cr1 0.000 0.000 0.347
Cr2 0.500 0.500 0.190
Sb1 0.500 0.500 0.582



[8]
# CdHg2Au2, relaxed, DFT PBE
# - Formation energy: 75 meV per atom
# - Energy above the lowest structure with this stoichiometry: 57 meV/atom
data_CdHg2Au2
_space_group_name_H-M_alt 'I 4/m m m'
_space_group_IT_number 139
_space_group_name_Hall '-I 4 2'
_cell_length_a 3.949
_cell_length_b 3.949
_cell_length_c 14.692
_cell_angle_alpha 90.00
_cell_angle_beta 90.00
_cell_angle_gamma 90.00
loop_
_atom_site_label
_atom_site_fract_x
_atom_site_fract_y
_atom_site_fract_z
Cd1 0.000 0.000 0.000
Hg1 0.000 0.000 0.401
Au1 0.000 0.500 0.250